DyZnNO: relaxed, PBE-GGA.

Calculated values
offset from the most stable computed form = 0 meV per atom
calculated density = 7.52 g/cm³
SG = No. 26

Cell lengths 3.6964, 5.0828, 6.0640 Å; angles 90.00, 90.00, 90.00 degrees
Sites, in units of the cell vectors:
1 Dy 0.0000 0.4659 0.3046
2 Dy 0.0000 0.9659 0.6954
3 N 0.0000 0.9275 0.3254
4 N 0.0000 0.4275 0.6746
5 O 0.5000 0.3872 0.1351
6 O 0.5000 0.8872 0.8649
7 Zn 0.5000 0.9734 0.1939
8 Zn 0.5000 0.4734 0.8061